No. 1
# PBE YMgIr2, optimized geometry
data_YMgIr2
_symmetry_space_group_name_H-M 'I m m 2'
_symmetry_Int_Tables_number 44
_symmetry_space_group_name_Hall 'I 2 -2'
_cell_length_a 3.169
_cell_length_b 4.635
_cell_length_c 10.003
_cell_angle_alpha 90.00
_cell_angle_beta 90.00
_cell_angle_gamma 90.00
loop_
_atom_site_label
_atom_site_type_symbol
_atom_site_fract_x
_atom_site_fract_y
_atom_site_fract_z
Y1 Y 0.000 0.000 0.000
Mg1 Mg 0.000 0.500 0.213
Ir1 Ir 0.000 0.000 0.475
Ir2 Ir 0.000 0.500 0.754
# ΔH_f (0 K) = -0.3589 eV/atom
# V = 18.37 A^3/atom
# Total energy = -54.4 eV/cell

No. 2
# PBE YMgIr, optimized geometry
data_YMgIr
_symmetry_space_group_name_H-M 'P 1 21/m 1'
_symmetry_Int_Tables_number 11
_symmetry_space_group_name_Hall '-P 2yb'
_cell_length_a 7.235
_cell_length_b 4.096
_cell_length_c 12.627
_cell_angle_alpha 90.00
_cell_angle_beta 90.05
_cell_angle_gamma 90.00
loop_
_atom_site_label
_atom_site_type_symbol
_atom_site_fract_x
_atom_site_fract_y
_atom_site_fract_z
Y1 Y 0.041 0.250 0.120
Y2 Y 0.152 0.250 0.416
Y3 Y 0.455 0.750 0.785
Mg1 Mg 0.128 0.250 0.702
Mg2 Mg 0.364 0.750 0.040
Mg3 Mg 0.499 0.250 0.586
Ir1 Ir 0.248 0.750 0.250
Ir2 Ir 0.251 0.750 0.579
Ir3 Ir 0.252 0.250 0.913
# ΔH_f (0 K) = -0.6718 eV/atom
# V = 20.79 A^3/atom
# Total energy = -113.6 eV/cell

No. 3
# PBE Y4MgIr, optimized geometry
data_Y4MgIr
_symmetry_space_group_name_H-M 'F -4 3 m'
_symmetry_Int_Tables_number 216
_symmetry_space_group_name_Hall 'F -4 2 3'
_cell_length_a 8.623
_cell_length_b 8.623
_cell_length_c 8.623
_cell_angle_alpha 90.00
_cell_angle_beta 90.00
_cell_angle_gamma 90.00
loop_
_atom_site_label
_atom_site_type_symbol
_atom_site_fract_x
_atom_site_fract_y
_atom_site_fract_z
Y1 Y 0.123 0.123 0.123
Mg1 Mg 0.000 0.000 0.500
Ir1 Ir 0.250 0.250 0.750
# ΔH_f (0 K) = 0.5672 eV/atom
# Offset from the most stable computed form = 992 meV per atom
# V = 26.72 A^3/atom
# Total energy = -131.6 eV/cell

No. 4
# PBE Y3Mg4Ir4, optimized geometry
data_Y3Mg4Ir4
_symmetry_space_group_name_H-M 'I m m m'
_symmetry_Int_Tables_number 71
_symmetry_space_group_name_Hall '-I 2 2'
_cell_length_a 3.987
_cell_length_b 7.819
_cell_length_c 14.392
_cell_angle_alpha 90.00
_cell_angle_beta 90.00
_cell_angle_gamma 90.00
loop_
_atom_site_label
_atom_site_type_symbol
_atom_site_fract_x
_atom_site_fract_y
_atom_site_fract_z
Y1 Y 0.000 0.000 0.000
Y2 Y 0.000 0.500 0.116
Mg1 Mg 0.000 0.308 0.327
Ir1 Ir 0.000 0.000 0.235
Ir2 Ir 0.000 0.189 0.500
# ΔH_f (0 K) = -0.5175 eV/atom
# V = 20.40 A^3/atom
# Total energy = -133.8 eV/cell

No. 5
# PBE YMg2Ir, optimized geometry
data_YMg2Ir
_symmetry_space_group_name_H-M 'P n m a'
_symmetry_Int_Tables_number 62
_symmetry_space_group_name_Hall '-P 2ac 2n'
_cell_length_a 15.373
_cell_length_b 8.370
_cell_length_c 5.383
_cell_angle_alpha 90.00
_cell_angle_beta 90.00
_cell_angle_gamma 90.00
loop_
_atom_site_label
_atom_site_type_symbol
_atom_site_fract_x
_atom_site_fract_y
_atom_site_fract_z
Y1 Y 0.107 0.250 0.245
Y2 Y 0.137 0.750 0.047
Mg1 Mg 0.042 0.056 0.732
Mg2 Mg 0.211 0.557 0.536
Ir1 Ir 0.066 0.750 0.548
Ir2 Ir 0.188 0.250 0.735
# ΔH_f (0 K) = -0.4899 eV/atom
# V = 21.64 A^3/atom
# Total energy = -163.8 eV/cell

No. 6
# PBE YMg3Ir, optimized geometry
data_YMg3Ir
_symmetry_space_group_name_H-M 'P m -3 m'
_symmetry_Int_Tables_number 221
_symmetry_space_group_name_Hall '-P 4 2 3'
_cell_length_a 5.551
_cell_length_b 5.551
_cell_length_c 5.551
_cell_angle_alpha 90.00
_cell_angle_beta 90.00
_cell_angle_gamma 90.00
loop_
_atom_site_label
_atom_site_type_symbol
_atom_site_fract_x
_atom_site_fract_y
_atom_site_fract_z
Y1 Y 0.000 0.000 0.000
Mg1 Mg 0.000 0.000 0.500
Ir1 Ir 0.500 0.500 0.500
# ΔH_f (0 K) = 1.9396 eV/atom
# Offset from the most stable computed form = 2309 meV per atom
# V = 34.20 A^3/atom
# Total energy = -10.4 eV/cell

No. 7
# PBE YMgIr2, optimized geometry
data_YMgIr2
_symmetry_space_group_name_H-M 'I -4 m 2'
_symmetry_Int_Tables_number 119
_symmetry_space_group_name_Hall 'I -4 -2'
_cell_length_a 3.996
_cell_length_b 3.996
_cell_length_c 9.030
_cell_angle_alpha 90.00
_cell_angle_beta 90.00
_cell_angle_gamma 90.00
loop_
_atom_site_label
_atom_site_type_symbol
_atom_site_fract_x
_atom_site_fract_y
_atom_site_fract_z
Y1 Y 0.000 0.000 0.000
Mg1 Mg 0.000 0.500 0.250
Ir1 Ir 0.000 0.000 0.500
Ir2 Ir 0.000 0.500 0.750
# ΔH_f (0 K) = -0.3329 eV/atom
# V = 18.02 A^3/atom
# Total energy = -54.2 eV/cell

No. 8
# PBE YMgIr, optimized geometry
data_YMgIr
_symmetry_space_group_name_H-M 'F -4 3 m'
_symmetry_Int_Tables_number 216
_symmetry_space_group_name_Hall 'F -4 2 3'
_cell_length_a 6.561
_cell_length_b 6.561
_cell_length_c 6.561
_cell_angle_alpha 90.00
_cell_angle_beta 90.00
_cell_angle_gamma 90.00
loop_
_atom_site_label
_atom_site_type_symbol
_atom_site_fract_x
_atom_site_fract_y
_atom_site_fract_z
Y1 Y 0.000 0.000 0.000
Mg1 Mg 0.000 0.000 0.500
Ir1 Ir 0.250 0.250 0.250
# ΔH_f (0 K) = -0.5073 eV/atom
# V = 23.54 A^3/atom
# Total energy = -73.8 eV/cell

No. 9
# PBE YMg4Ir, optimized geometry
data_YMg4Ir
_symmetry_space_group_name_H-M 'F -4 3 m'
_symmetry_Int_Tables_number 216
_symmetry_space_group_name_Hall 'F -4 2 3'
_cell_length_a 7.851
_cell_length_b 7.851
_cell_length_c 7.851
_cell_angle_alpha 90.00
_cell_angle_beta 90.00
_cell_angle_gamma 90.00
loop_
_atom_site_label
_atom_site_type_symbol
_atom_site_fract_x
_atom_site_fract_y
_atom_site_fract_z
Y1 Y 0.000 0.000 0.000
Mg1 Mg 0.124 0.124 0.376
Ir1 Ir 0.250 0.250 0.750
# ΔH_f (0 K) = -0.0094 eV/atom
# V = 20.16 A^3/atom
# Total energy = -87.0 eV/cell

No. 10
# PBE YMgIr2, optimized geometry
data_YMgIr2
_symmetry_space_group_name_H-M 'I -4 2 d'
_symmetry_Int_Tables_number 122
_symmetry_space_group_name_Hall 'I -4 2bw'
_cell_length_a 7.327
_cell_length_b 7.327
_cell_length_c 5.738
_cell_angle_alpha 90.00
_cell_angle_beta 90.00
_cell_angle_gamma 90.00
loop_
_atom_site_label
_atom_site_type_symbol
_atom_site_fract_x
_atom_site_fract_y
_atom_site_fract_z
Y1 Y 0.000 0.000 0.000
Mg1 Mg 0.000 0.000 0.500
Ir1 Ir 0.228 0.250 0.625
# ΔH_f (0 K) = -0.0159 eV/atom
# V = 19.25 A^3/atom
# Total energy = -103.4 eV/cell

No. 11
# PBE YMgIr2, optimized geometry
data_YMgIr2
_symmetry_space_group_name_H-M 'C 1 m 1'
_symmetry_Int_Tables_number 8
_symmetry_space_group_name_Hall 'C -2y'
_cell_length_a 10.474
_cell_length_b 3.036
_cell_length_c 4.866
_cell_angle_alpha 90.00
_cell_angle_beta 107.98
_cell_angle_gamma 90.00
loop_
_atom_site_label
_atom_site_type_symbol
_atom_site_fract_x
_atom_site_fract_y
_atom_site_fract_z
Y1 Y 0.000 0.000 0.000
Mg1 Mg 0.294 0.500 0.370
Ir1 Ir 0.043 0.500 0.516
Ir2 Ir 0.247 0.000 0.848
# ΔH_f (0 K) = -0.3980 eV/atom
# V = 18.40 A^3/atom
# Total energy = -54.7 eV/cell

No. 12
# PBE YMg2Ir, optimized geometry
data_YMg2Ir
_symmetry_space_group_name_H-M 'I -4 2 d'
_symmetry_Int_Tables_number 122
_symmetry_space_group_name_Hall 'I -4 2bw'
_cell_length_a 4.082
_cell_length_b 4.082
_cell_length_c 21.081
_cell_angle_alpha 90.00
_cell_angle_beta 90.00
_cell_angle_gamma 90.00
loop_
_atom_site_label
_atom_site_type_symbol
_atom_site_fract_x
_atom_site_fract_y
_atom_site_fract_z
Y1 Y 0.000 0.000 0.000
Mg1 Mg 0.220 0.250 0.625
Ir1 Ir 0.000 0.000 0.500
# ΔH_f (0 K) = -0.0887 eV/atom
# V = 21.96 A^3/atom
# Total energy = -75.5 eV/cell